Entry 1:
## KMg2Mo (PBE-GGA)

Data for crystalline KMg2Mo at its relaxed geometry.

Results
energy above the most stable polymorph in this dataset	407.8	meV/atom
raw total energy	-2.84	eV/atom

POSCAR file:
```
KMg2Mo
1.0
0.0000 3.6948 3.6948
3.6948 0.0000 3.6948
3.6948 3.6948 0.0000
K Mg Mo
1 2 1
direct
0.0000 0.0000 0.0000
0.2500 0.2500 0.2500
0.7500 0.7500 0.7500
0.5000 0.5000 0.5000
```

Entry 2:
## Rb2Pb2Au (PBE-GGA)

Data for crystalline Rb2Pb2Au at its relaxed geometry.

Results
energy above the most stable polymorph in this dataset	83.9	meV/atom
raw total energy	-2.60	eV/atom

POSCAR file:
```
Rb2Pb2Au
1.0
7.7027 0.0000 0.0000
0.0000 7.7027 0.0000
0.0000 0.0000 6.2407
Rb Pb Au
4 4 2
direct
0.1783 0.3217 0.0000
0.3217 0.8217 0.0000
0.6783 0.1783 0.0000
0.8217 0.6783 0.0000
0.1425 0.6425 0.5000
0.3575 0.1425 0.5000
0.6425 0.8575 0.5000
0.8575 0.3575 0.5000
0.0000 0.0000 0.5000
0.5000 0.5000 0.5000
```

Entry 3:
## Tb6Pr2Er3Pu (PBE-GGA)

Data for crystalline Tb6Pr2Er3Pu at its relaxed geometry.

Results
raw total energy	-5.39	eV/atom

POSCAR file:
```
Tb6Pr2Er3Pu
1.0
3.0843 -5.3488 0.0000
3.0843 5.3488 0.0000
-2.0702 0.0000 11.5889
Tb Pr Er Pu
6 2 3 1
direct
0.0840 0.4130 0.7526
0.2451 0.2451 0.2473
0.4130 0.0840 0.7526
0.5870 0.9160 0.2474
0.7549 0.7549 0.7527
0.9160 0.5870 0.2474
0.3335 0.6665 0.5000
0.6665 0.3335 0.5000
0.1666 0.8334 0.0000
0.5000 0.5000 0.0000
0.8334 0.1666 0.0000
0.0000 0.0000 0.5000
```

Entry 4:
## Pu2CdHg (PBE-GGA)

Data for crystalline Pu2CdHg at its relaxed geometry.

Results
energy above the most stable polymorph in this dataset	47.0	meV/atom
raw total energy	-7.49	eV/atom

POSCAR file:
```
Pu2CdHg
1.0
4.0405 0.0000 0.0000
0.0000 4.0405 0.0000
0.0000 0.0000 6.4275
Pu Cd Hg
2 1 1
direct
0.0000 0.0000 0.2466
0.0000 0.0000 0.7534
0.5000 0.5000 0.5000
0.5000 0.5000 0.0000
```

Entry 5:
## LiCu2Cl (PBE-GGA)

Data for crystalline LiCu2Cl at its relaxed geometry.

Results
energy above the most stable polymorph in this dataset	533.2	meV/atom
raw total energy	-2.90	eV/atom

POSCAR file:
```
LiCu2Cl
1.0
2.3118 -5.5778 0.0000
2.3118 5.5778 0.0000
0.0000 0.0000 2.8615
Li Cu Cl
1 2 1
direct
0.0000 0.0000 0.0000
0.0000 0.5000 0.5000
0.5000 0.0000 0.5000
0.5000 0.5000 0.0000
```

Entry 6:
## FeRu2Pb (PBE-GGA)

Data for crystalline FeRu2Pb at its relaxed geometry.

Results
raw total energy	-7.24	eV/atom

POSCAR file:
```
FeRu2Pb
1.0
4.3387 -1.4850 0.0000
4.3387 1.4850 0.0000
-1.0316 0.0000 5.0506
Fe Ru Pb
1 2 1
direct
0.0000 0.0000 0.0000
0.2613 0.2613 0.7954
0.7387 0.7387 0.2046
0.5000 0.5000 0.5000
```

Entry 7:
## Mn3Se (PBE-GGA)

Data for crystalline Mn3Se at its relaxed geometry.

Results
energy above the most stable polymorph in this dataset	146.0	meV/atom
raw total energy	-7.50	eV/atom

POSCAR file:
```
Mn3Se
1.0
4.1570 -1.5887 0.0000
4.1570 1.5887 0.0000
-1.2703 0.0000 3.9370
Mn Se
3 1
direct
0.0000 0.0000 0.0000
0.2477 0.2477 0.7519
0.7523 0.7523 0.2481
0.5000 0.5000 0.5000
```

Entry 8:
## SrGdZnCd (PBE-GGA)

Data for crystalline SrGdZnCd at its relaxed geometry.

Results
raw total energy	-4.72	eV/atom

POSCAR file:
```
SrGdZnCd
1.0
0.0000 3.8288 3.8288
3.8288 0.0000 3.8288
3.8288 3.8288 0.0000
Sr Gd Zn Cd
1 1 1 1
direct
0.0000 0.0000 0.0000
0.5000 0.5000 0.5000
0.7500 0.7500 0.7500
0.2500 0.2500 0.2500
```

Repeat the third record exactly.
## Tb6Pr2Er3Pu (PBE-GGA)

Data for crystalline Tb6Pr2Er3Pu at its relaxed geometry.

Results
raw total energy	-5.39	eV/atom

POSCAR file:
```
Tb6Pr2Er3Pu
1.0
3.0843 -5.3488 0.0000
3.0843 5.3488 0.0000
-2.0702 0.0000 11.5889
Tb Pr Er Pu
6 2 3 1
direct
0.0840 0.4130 0.7526
0.2451 0.2451 0.2473
0.4130 0.0840 0.7526
0.5870 0.9160 0.2474
0.7549 0.7549 0.7527
0.9160 0.5870 0.2474
0.3335 0.6665 0.5000
0.6665 0.3335 0.5000
0.1666 0.8334 0.0000
0.5000 0.5000 0.0000
0.8334 0.1666 0.0000
0.0000 0.0000 0.5000
```

- Which of these has the highest raw total energy?
  Rb2Pb2Au

- What is the formula in the first record?
  KMg2Mo